First-principles (PBE-GGA) data for an optimized crystal structure of AcZr2Si4, as listed in Alexandria via LeMat-Bulk.

Unit cell a=3.763 b=3.989 c=19.309 alpha=90.00 beta=90.00 gamma=90.00
Space group Immm (No. 71)
Symmetry-distinct sites (fractional):
Ac: 0.000 0.000 0.000 x2
Zr: 0.000 0.500 0.308 x4
Si: 0.000 0.000 0.412 x4
Si: 0.000 0.500 0.164 x4

- E_tot (eV per cell) = -95.14
- E_form (uncorrected) (eV/f.u.) = -4.7

First-principles (PBE-GGA) data for an optimized crystal structure of Ac4Sm, as listed in Alexandria via LeMat-Bulk.

Unit cell a=6.267 b=6.267 c=6.267 alpha=90.00 beta=90.00 gamma=90.00
Space group Pm-3m (No. 221)
Symmetry-distinct sites (fractional):
Ac: 0.000 0.000 0.000 x1
Ac: 0.000 0.500 0.500 x3
Sm: 0.500 0.500 0.500 x1

- E_tot (eV per cell) = -18.54
- formation energy from the elements (meV/atom) = 522

First-principles (PBE-GGA) data for an optimized crystal structure of Ac3Sm4, as listed in Alexandria via LeMat-Bulk.

Unit cell a=3.823 b=5.232 c=26.759 alpha=90.00 beta=90.00 gamma=90.00
Space group Immm (No. 71)
Symmetry-distinct sites (fractional):
Ac: 0.000 0.000 0.000 x2
Ac: 0.000 0.000 0.144 x4
Sm: 0.000 0.000 0.283 x4
Sm: 0.000 0.000 0.428 x4

- E_tot (eV per cell) = -61.84
- formation energy from the elements (meV/atom) = 40

First-principles (PBE-GGA) data for an optimized crystal structure of Ac5Sm, as listed in Alexandria via LeMat-Bulk.

Unit cell a=5.549 b=16.705 c=5.580 alpha=90.00 beta=90.00 gamma=90.00
Space group Cmmm (No. 65)
Symmetry-distinct sites (fractional):
Ac: 0.000 0.000 0.000 x2
Ac: 0.000 0.163 0.500 x4
Ac: 0.000 0.335 0.000 x4
Sm: 0.000 0.500 0.500 x2

- E_tot (eV per cell) = -50.18
- formation energy from the elements (meV/atom) = 29

First-principles (PBE-GGA) data for an optimized crystal structure of AcSm, as listed in Alexandria via LeMat-Bulk.

Unit cell a=4.280 b=4.280 c=4.280 alpha=90.00 beta=90.00 gamma=90.00
Space group Pm-3m (No. 221)
Symmetry-distinct sites (fractional):
Ac: 0.000 0.000 0.000 x1
Sm: 0.500 0.500 0.500 x1

- E_tot (eV per cell) = -8.61
- formation energy from the elements (meV/atom) = 109

First-principles (PBE-GGA) data for an optimized crystal structure of AcSm7, as listed in Alexandria via LeMat-Bulk.

Unit cell a=10.375 b=10.375 c=10.375 alpha=90.00 beta=90.00 gamma=90.00
Space group Fm-3m (No. 225)
Symmetry-distinct sites (fractional):
Ac: 0.000 0.000 0.000 x4
Sm: 0.000 0.000 0.500 x4
Sm: 0.000 0.250 0.250 x24

- E_tot (eV per cell) = -147.97
- formation energy from the elements (meV/atom) = 19

First-principles (PBE-GGA) data for an optimized crystal structure of AcSm6, as listed in Alexandria via LeMat-Bulk.

Unit cell a=8.209 b=8.209 c=8.209 alpha=90.00 beta=90.00 gamma=90.00
Space group Im-3m (No. 229)
Symmetry-distinct sites (fractional):
Ac: 0.000 0.000 0.000 x2
Sm: 0.000 0.250 0.500 x12

- E_tot (eV per cell) = -49.48
- formation energy from the elements (meV/atom) = 1097

First-principles (PBE-GGA) data for an optimized crystal structure of Ac6Sm5, as listed in Alexandria via LeMat-Bulk.

Unit cell a=6.660 b=11.531 c=12.132 alpha=90.00 beta=100.36 gamma=90.00
Space group C2/m (No. 12)
Symmetry-distinct sites (fractional):
Ac: 0.248 0.000 0.256 x4
Ac: 0.250 0.166 0.746 x8
Sm: 0.000 0.166 0.000 x4
Sm: 0.000 0.332 0.500 x4
Sm: 0.000 0.500 0.000 x2

- E_tot (eV per cell) = -92.46
- formation energy from the elements (meV/atom) = 183

First-principles (PBE-GGA) data for an optimized crystal structure of AcSm, as listed in Alexandria via LeMat-Bulk.

Unit cell a=3.8102 b=3.8102 c=38.3156 alpha=90.00 beta=90.00 gamma=120.00
Space group R3m (No. 160, hexagonal axes)
Symmetry-distinct sites (fractional):
Ac: 0.0000 0.0000 0.0000 x3
Ac: 0.0000 0.0000 0.0999 x3
Sm: 0.0000 0.0000 0.2546 x3
Sm: 0.0000 0.0000 0.5121 x3

- E_tot (eV per cell) = -51.76
- formation energy from the elements (meV/atom) = 101

First-principles (PBE-GGA) data for an optimized crystal structure of AcSm8, as listed in Alexandria via LeMat-Bulk.

Unit cell a=11.010 b=11.010 c=5.186 alpha=90.00 beta=90.00 gamma=90.00
Space group I4/mmm (No. 139)
Symmetry-distinct sites (fractional):
Ac: 0.000 0.000 0.000 x2
Sm: 0.000 0.336 0.000 x8
Sm: 0.170 0.170 0.500 x8

- E_tot (eV per cell) = -83.25
- formation energy from the elements (meV/atom) = 26

First-principles (PBE-GGA) data for an optimized crystal structure of AcSm, as listed in Alexandria via LeMat-Bulk.

Unit cell a=3.798 b=14.088 c=5.884 alpha=90.00 beta=90.00 gamma=90.00
Space group Cmcm (No. 63)
Symmetry-distinct sites (fractional):
Ac: 0.000 0.174 0.250 x4
Sm: 0.000 0.440 0.250 x4

- E_tot (eV per cell) = -35.00
- formation energy from the elements (meV/atom) = 39

First-principles (PBE-GGA) data for an optimized crystal structure of Ac4Sm, as listed in Alexandria via LeMat-Bulk.

Unit cell a=8.781 b=8.781 c=5.548 alpha=90.00 beta=90.00 gamma=90.00
Space group I4/m (No. 87)
Symmetry-distinct sites (fractional):
Ac: 0.102 0.297 0.000 x8
Sm: 0.000 0.000 0.500 x2

- E_tot (eV per cell) = -41.92
- formation energy from the elements (meV/atom) = 39

First-principles (PBE-GGA) data for an optimized crystal structure of Ac3Sm13, as listed in Alexandria via LeMat-Bulk.

Unit cell a=10.451 b=10.421 c=10.480 alpha=90.00 beta=90.00 gamma=90.00
Space group Amm2 (No. 38)
Symmetry-distinct sites (fractional):
Ac: 0.000 0.000 0.000 x2
Ac: 0.254 0.000 0.258 x4
Sm: 0.000 0.000 0.510 x2
Sm: 0.000 0.248 0.754 x4
Sm: 0.252 0.000 0.753 x4
Sm: 0.253 0.249 0.506 x8
Sm: 0.500 0.000 0.001 x2
Sm: 0.500 0.000 0.513 x2
Sm: 0.500 0.243 0.756 x4

- E_tot (eV per cell) = -146.37
- formation energy from the elements (meV/atom) = 31

First-principles (PBE-GGA) data for an optimized crystal structure of Ac7Sm3, as listed in Alexandria via LeMat-Bulk.

Unit cell a=19.837 b=5.513 c=7.738 alpha=90.00 beta=101.91 gamma=90.00
Space group C2/m (No. 12)
Symmetry-distinct sites (fractional):
Ac: 0.000 0.000 0.000 x2
Ac: 0.099 0.500 0.301 x4
Ac: 0.103 0.500 0.804 x4
Ac: 0.201 0.000 0.604 x4
Sm: 0.000 0.000 0.500 x2
Sm: 0.202 0.000 0.100 x4

- E_tot (eV per cell) = -85.13
- formation energy from the elements (meV/atom) = 35

First-principles (PBE-GGA) data for an optimized crystal structure of AcSm11, as listed in Alexandria via LeMat-Bulk.

Unit cell a=11.5519 b=11.5519 c=3.6127 alpha=90.00 beta=90.00 gamma=120.00
Space group P6/mmm (No. 191)
Symmetry-distinct sites (fractional):
Ac: 0.0000 0.0000 0.0000 x1
Sm: 0.0000 0.5000 0.0000 x3
Sm: 0.1780 0.3559 0.5000 x6
Sm: 0.3333 0.6667 0.0000 x2

- E_tot (eV per cell) = -55.60
- formation energy from the elements (meV/atom) = 35

First-principles (PBE-GGA) data for an optimized crystal structure of Ac8Sm3, as listed in Alexandria via LeMat-Bulk.

Unit cell a=13.2258 b=13.2258 c=9.6692 alpha=90.00 beta=90.00 gamma=120.00
Space group R-3 (No. 148, hexagonal axes)
Symmetry-distinct sites (fractional):
Ac: 0.0000 0.0000 0.2383 x6
Ac: 0.0336 0.4558 0.1558 x18
Sm: 0.0000 0.5000 0.5000 x9

- E_tot (eV per cell) = -128.44
- formation energy from the elements (meV/atom) = 383

First-principles (PBE-GGA) data for an optimized crystal structure of Ac4Sm3, as listed in Alexandria via LeMat-Bulk.

Unit cell a=12.186 b=5.481 c=8.468 alpha=90.00 beta=97.74 gamma=90.00
Space group C2/m (No. 12)
Symmetry-distinct sites (fractional):
Ac: 0.069 0.000 0.228 x4
Ac: 0.144 0.500 0.924 x4
Sm: 0.000 0.500 0.500 x2
Sm: 0.220 0.000 0.637 x4

- E_tot (eV per cell) = -60.53
- formation energy from the elements (meV/atom) = 46

First-principles (PBE-GGA) data for an optimized crystal structure of AcSm, as listed in Alexandria via LeMat-Bulk.

Unit cell a=5.9953 b=5.9953 c=15.3074 alpha=90.00 beta=90.00 gamma=120.00
Space group R-3m (No. 166, hexagonal axes)
Symmetry-distinct sites (fractional):
Ac: 0.0000 0.0000 0.1186 x6
Sm: 0.0000 0.0000 0.3649 x6

- E_tot (eV per cell) = -50.85
- formation energy from the elements (meV/atom) = 176

First-principles (PBE-GGA) data for an optimized crystal structure of Ac3Sm13, as listed in Alexandria via LeMat-Bulk.

Unit cell a=7.483 b=11.906 c=12.933 alpha=90.00 beta=90.00 gamma=90.00
Space group Amm2 (No. 38)
Symmetry-distinct sites (fractional):
Ac: 0.000 0.000 0.000 x2
Ac: 0.252 0.000 0.743 x4
Sm: 0.000 0.000 0.491 x2
Sm: 0.000 0.248 0.165 x4
Sm: 0.251 0.000 0.249 x4
Sm: 0.253 0.245 0.414 x8
Sm: 0.500 0.000 0.000 x2
Sm: 0.500 0.000 0.492 x2
Sm: 0.500 0.243 0.162 x4

- E_tot (eV per cell) = -145.83
- formation energy from the elements (meV/atom) = 48

First-principles (PBE-GGA) data for an optimized crystal structure of AcSm4, as listed in Alexandria via LeMat-Bulk.

Unit cell a=6.007 b=6.007 c=6.007 alpha=90.00 beta=90.00 gamma=90.00
Space group Pm-3m (No. 221)
Symmetry-distinct sites (fractional):
Ac: 0.000 0.000 0.000 x1
Sm: 0.000 0.000 0.500 x3
Sm: 0.500 0.500 0.500 x1

- E_tot (eV per cell) = -18.47
- formation energy from the elements (meV/atom) = 904

First-principles (PBE-GGA) data for an optimized crystal structure of Ac4Sm, as listed in Alexandria via LeMat-Bulk.

Unit cell a=5.961 b=18.688 c=3.842 alpha=90.00 beta=90.00 gamma=90.00
Space group Cmmm (No. 65)
Symmetry-distinct sites (fractional):
Ac: 0.000 0.102 0.000 x4
Ac: 0.000 0.306 0.500 x4
Sm: 0.000 0.500 0.500 x2

- E_tot (eV per cell) = -41.43
- formation energy from the elements (meV/atom) = 87

First-principles (PBE-GGA) data for an optimized crystal structure of Ac5Sm4, as listed in Alexandria via LeMat-Bulk.

Unit cell a=3.862 b=11.534 c=16.114 alpha=90.00 beta=90.00 gamma=90.00
Space group Immm (No. 71)
Symmetry-distinct sites (fractional):
Ac: 0.000 0.000 0.000 x2
Ac: 0.000 0.000 0.325 x4
Ac: 0.000 0.330 0.000 x4
Sm: 0.000 0.330 0.332 x8

- E_tot (eV per cell) = -78.04
- formation energy from the elements (meV/atom) = 45

First-principles (PBE-GGA) data for an optimized crystal structure of AcSm4, as listed in Alexandria via LeMat-Bulk.

Unit cell a=3.682 b=5.839 c=16.749 alpha=90.00 beta=90.00 gamma=90.00
Space group Immm (No. 71)
Symmetry-distinct sites (fractional):
Ac: 0.000 0.000 0.000 x2
Sm: 0.000 0.000 0.400 x4
Sm: 0.000 0.500 0.285 x4

- E_tot (eV per cell) = -45.64
- formation energy from the elements (meV/atom) = 33

First-principles (PBE-GGA) data for an optimized crystal structure of Ac5Sm7, as listed in Alexandria via LeMat-Bulk.

Unit cell a=19.648 b=3.816 c=13.910 alpha=90.00 beta=118.45 gamma=90.00
Space group C2/m (No. 12)
Symmetry-distinct sites (fractional):
Ac: 0.000 0.000 0.000 x2
Ac: 0.162 0.000 0.493 x4
Ac: 0.194 0.500 0.753 x4
Sm: 0.000 0.500 0.500 x2
Sm: 0.027 0.000 0.752 x4
Sm: 0.137 0.500 0.247 x4
Sm: 0.165 0.500 0.995 x4

- E_tot (eV per cell) = -106.36
- formation energy from the elements (meV/atom) = 33

First-principles (PBE-GGA) data for an optimized crystal structure of Ac5Sm3, as listed in Alexandria via LeMat-Bulk.

Unit cell a=3.900 b=3.900 c=21.358 alpha=90.00 beta=90.00 gamma=90.00
Space group P4/mmm (No. 123)
Symmetry-distinct sites (fractional):
Ac: 0.000 0.000 0.000 x1
Ac: 0.000 0.000 0.243 x2
Ac: 0.500 0.500 0.378 x2
Sm: 0.000 0.000 0.500 x1
Sm: 0.500 0.500 0.120 x2

- E_tot (eV per cell) = -34.40
- formation energy from the elements (meV/atom) = 37